# 1
Compound: SrLuTlBi
Source: Alexandria
Functional: PBE-GGA
Structure: relaxed

Results
The calculation puts the total moment at 0.000 μB per atom. As for the formation energy: -0.37 eV per atom. Its density is 9.02 g cm⁻³.

Cell lengths 5.6033, 5.6033, 5.6033 Å; angles 60.00, 60.00, 60.00 degrees
Last column: nearest neighbours and their distance in Å.
Sites, in units of the cell vectors:
Bi 0.5000 0.5000 0.5000  4 Sr 3.43, 4 Lu 3.43
Tl 0.0000 0.0000 0.0000  4 Sr 3.43, 4 Lu 3.43
Lu 0.2500 0.2500 0.2500  4 Tl 3.43, 4 Bi 3.43
Sr 0.7500 0.7500 0.7500  4 Bi 3.43, 4 Tl 3.43



# 2
Compound: Ba3Ce2PmTe6
Source: Alexandria
Functional: PBE-GGA
Structure: relaxed

Results
The calculation puts the total moment at 0.235 μB per atom. The uncorrected formation energy is -1.540 eV per atom. Its density is 5.93 g cm⁻³.

Cell lengths 8.0889, 8.0889, 8.3637 Å; angles 99.27, 99.27, 119.96 degrees
Last column: nearest neighbours and their distance in Å.
Sites, in units of the cell vectors:
Te 0.0747 0.4064 0.2243  1 Pm 3.22, 2 Ce 3.24, 3 Ba 3.46-3.48
Te 0.9253 0.5936 0.7757  1 Pm 3.22, 2 Ce 3.24, 3 Ba 3.46-3.48
Te 0.2567 0.2567 0.7753  1 Pm 3.22, 2 Ce 3.24, 3 Ba 3.46-3.48
Te 0.7433 0.7433 0.2247  1 Pm 3.22, 2 Ce 3.24, 3 Ba 3.46-3.48
Te 0.5936 0.9253 0.7757  1 Pm 3.22, 2 Ce 3.24, 3 Ba 3.46-3.48
Te 0.4064 0.0747 0.2243  1 Pm 3.22, 2 Ce 3.24, 3 Ba 3.46-3.48
Ba 0.8332 0.1668 0.5000  6 Te 3.46-3.48
Ba 0.5000 0.5000 0.5000  6 Te 3.46-3.48
Ba 0.1668 0.8332 0.5000  6 Te 3.46-3.48
Ce 0.3334 0.6666 0.0000  6 Te 3.24
Ce 0.6666 0.3334 0.0000  6 Te 3.24
Pm 0.0000 0.0000 0.0000  6 Te 3.22



# 3
Compound: Sr2Zn15Pt2
Source: Alexandria
Functional: PBE-GGA
Structure: relaxed

Results
The calculation puts the total moment at 0.000 μB per atom. As for the formation energy: -0.27 eV per atom. Its density is 7.89 g cm⁻³.

Cell lengths 6.9280, 6.9280, 6.9280 Å; angles 82.83, 82.83, 82.83 degrees
Last column: nearest neighbours and their distance in Å.
Sites, in units of the cell vectors:
Zn 0.0000 0.7177 0.2823  8 Zn 2.59-2.86
Zn 0.0000 0.2823 0.7177  8 Zn 2.59-2.86
Zn 0.5000 0.0000 0.0000  8 Zn 2.61-2.64, 2 Pt 2.76
Zn 0.0000 0.0000 0.5000  8 Zn 2.61-2.64, 2 Pt 2.76
Zn 0.3454 0.8503 0.3454  8 Zn 2.64-2.86, 1 Pt 2.79
Zn 0.7177 0.2823 0.0000  8 Zn 2.59-2.86
Zn 0.6546 0.1497 0.6546  8 Zn 2.64-2.86, 1 Pt 2.79
Zn 0.1497 0.6546 0.6546  8 Zn 2.64-2.86, 1 Pt 2.79
Zn 0.0000 0.5000 0.0000  8 Zn 2.61-2.64, 2 Pt 2.76
Zn 0.8503 0.3454 0.3454  8 Zn 2.64-2.86, 1 Pt 2.79
Zn 0.7177 0.0000 0.2823  8 Zn 2.59-2.86
Zn 0.3454 0.3454 0.8503  8 Zn 2.64-2.86, 1 Pt 2.79
Zn 0.2823 0.7177 0.0000  8 Zn 2.59-2.86
Zn 0.6546 0.6546 0.1497  8 Zn 2.64-2.86, 1 Pt 2.79
Zn 0.2823 0.0000 0.7177  8 Zn 2.59-2.86
Sr 0.3411 0.3411 0.3411  1 Pt 3.11, 12 Zn 3.31-3.39
Sr 0.6589 0.6589 0.6589  1 Pt 3.11, 12 Zn 3.31-3.39
Pt 0.1094 0.1094 0.1094  12 Zn 2.76-2.97, 1 Pt 2.93
Pt 0.8906 0.8906 0.8906  12 Zn 2.76-2.97, 1 Pt 2.93



# 4
Compound: KNdUS4
Source: Alexandria
Functional: PBE-GGA
Structure: relaxed

Results
The calculation puts the total moment at 0.286 μB per atom. The uncorrected formation energy is -1.607 eV per atom. Its density is 4.23 g cm⁻³.

Cell lengths 8.3588, 8.4823, 8.6100 Å; angles 120.50, 90.00, 119.52 degrees
Last column: nearest neighbours and their distance in Å.
Sites, in units of the cell vectors:
S 0.2626 0.5252 0.3084  2 U 2.73, 1 Nd 2.87, 1 K 3.01
S 0.7374 0.4748 0.2832  2 U 2.73, 1 Nd 2.87, 1 K 3.01
S 0.6951 0.9474 0.7237  1 U 2.69, 2 Nd 2.86, 1 K 2.98
S 0.2524 0.9474 0.7237  1 U 2.69, 2 Nd 2.86, 1 K 2.98
S 0.2626 0.5252 0.7168  2 U 2.73, 1 Nd 2.87, 1 K 3.01
S 0.3049 0.0526 0.2763  1 U 2.69, 2 Nd 2.86, 1 K 2.98
S 0.7374 0.4748 0.6916  2 U 2.73, 1 Nd 2.87, 1 K 3.01
S 0.7476 0.0526 0.2763  1 U 2.69, 2 Nd 2.86, 1 K 2.98
Nd 0.5000 0.0000 0.0000  6 S 2.86-2.87
Nd 0.5000 0.0000 0.5000  6 S 2.86-2.87
K 0.1285 0.2570 0.8785  4 S 2.98-3.01
K 0.8715 0.7430 0.1215  4 S 2.98-3.01
U 0.5000 0.5000 0.5000  6 S 2.69-2.73
U 0.0000 0.5000 0.5000  6 S 2.69-2.73